--- w ---
Here is a relaxed structure of Zn2SiCl from Alexandria via LeMat-Bulk. Energies are from PBE.

Its magnetic moment is 0.0 μB per formula unit. The density of states at the Fermi level comes out at 0.182 states/eV per atom. Its crystal system is orthorhombic.

It has space group Cmmm (No. 65), with a = 3.755 Å, b = 5.402 Å, c = 7.314 Å, α = 90.00°, β = 90.00° and γ = 90.00°. The asymmetric unit holds Zn at (0.000, 0.000, 0.228), Si at (0.000, 0.500, 0.000) and Cl at (0.000, 0.500, 0.500).

--- x ---
Here is a relaxed structure of Zn2SiCl from Alexandria via LeMat-Bulk. Energies are from PBE.

Its magnetic moment is 0.0 μB per formula unit. The density of states at the Fermi level comes out at 0.250 states/eV per atom. Its crystal system is trigonal.

It has space group R-3m (No. 166, hexagonal axes), with a = 3.5962 Å, b = 3.5962 Å, c = 20.2206 Å, α = 90.00°, β = 90.00° and γ = 120.00°. The asymmetric unit holds Zn at (0.0000, 0.0000, 0.2387), Si at (0.0000, 0.0000, 0.5000) and Cl at (0.0000, 0.0000, 0.0000).

Best to worst by energy: x, w.